Sr3CdAg (PBE-GGA, optimized geometry); total moment = 0.00 Bohr magnetons per cell; symmetry = P1; DFT formation energy = -0.15 eV/atom; energy above the most stable polymorph in this dataset = 65.3 meV/atom; crystal system = triclinic
1.0
-3.293 -3.210 -3.420
-3.562 -1.997 6.403
-5.036 6.930 -1.604
Sr Cd Ag
6 2 2
Direct
0.523 0.971 0.638 Sr
0.571 0.270 0.034 Sr
0.057 0.158 0.357 Sr
0.993 0.802 0.876 Sr
0.579 0.461 0.547 Sr
0.544 0.776 0.212 Sr
0.060 0.705 0.434 Cd
0.075 0.292 0.783 Cd
0.445 0.615 0.872 Ag
0.085 0.495 0.123 Ag

Sr3Cd2Ag4 (PBE-GGA, optimized geometry); total moment = 0.00 Bohr magnetons per cell; symmetry = C2/m; DFT formation energy = -0.29 eV/atom; energy above the most stable polymorph in this dataset = 19.0 meV/atom; crystal system = monoclinic
1.0
4.808 0.000 0.000
-2.404 5.660 0.026
0.000 -1.455 9.323
Sr Cd Ag
3 2 4
Direct
0.376 0.751 0.618 Sr
0.000 0.000 0.000 Sr
0.624 0.249 0.382 Sr
0.313 0.626 0.231 Cd
0.687 0.374 0.769 Cd
0.727 0.454 0.079 Ag
0.082 0.165 0.633 Ag
0.918 0.835 0.367 Ag
0.273 0.546 0.921 Ag

Sr2CdAg4 (PBE-GGA, optimized geometry); total moment = 0.00 Bohr magnetons per cell; symmetry = P2/m; DFT formation energy = -0.17 eV/atom; crystal system = monoclinic
1.0
4.919 0.000 0.000
0.000 5.693 -3.133
0.000 -1.773 8.265
Sr Cd Ag
2 1 4
Direct
0.500 0.101 0.300 Sr
0.500 0.899 0.700 Sr
0.000 0.500 0.000 Cd
0.500 0.500 0.175 Ag
0.000 0.500 0.337 Ag
0.500 0.500 0.825 Ag
0.000 0.500 0.663 Ag

SrCd8Ag2 (PBE-GGA, optimized geometry); total moment = 0.00 Bohr magnetons per cell; symmetry = P4/mmm; DFT formation energy = 0.06 eV/atom; crystal system = tetragonal
1.0
-1.383 -5.635 -4.323
-1.752 -3.997 5.771
-5.545 1.732 -0.484
Sr Cd Ag
1 8 2
Direct
0.500 0.500 0.500 Sr
0.791 0.791 0.250 Cd
0.791 0.209 0.750 Cd
0.791 0.791 0.750 Cd
0.791 0.209 0.250 Cd
0.209 0.791 0.250 Cd
0.209 0.791 0.750 Cd
0.209 0.209 0.250 Cd
0.209 0.209 0.750 Cd
0.500 0.000 0.000 Ag
0.000 0.500 0.000 Ag

Sr3Cd3Ag2 (PBE-GGA, optimized geometry); total moment = 0.00 Bohr magnetons per cell; symmetry = Cmcm; DFT formation energy = -0.32 eV/atom; crystal system = orthorhombic
1.0
4.904 0.000 0.000
-2.452 5.801 0.000
0.000 0.000 16.862
Sr Cd Ag
6 6 4
Direct
0.915 0.829 0.394 Sr
0.085 0.171 0.894 Sr
0.915 0.829 0.106 Sr
0.085 0.171 0.606 Sr
0.633 0.266 0.250 Sr
0.367 0.734 0.750 Sr
0.622 0.245 0.462 Cd
0.378 0.755 0.962 Cd
0.622 0.245 0.038 Cd
0.378 0.755 0.538 Cd
0.341 0.681 0.250 Cd
0.659 0.319 0.750 Cd
0.791 0.582 0.897 Ag
0.209 0.418 0.397 Ag
0.791 0.582 0.603 Ag
0.209 0.418 0.103 Ag

Sr3CdAg (PBE-GGA, optimized geometry); total moment = 0.00 Bohr magnetons per cell; symmetry = P2_1/c; DFT formation energy = -0.22 eV/atom; energy above the most stable polymorph in this dataset = 0.0 meV/atom; crystal system = monoclinic
1.0
-4.560 5.856 -5.106
-4.955 2.395 7.172
8.274 3.495 4.549
Sr Cd Ag
12 4 4
Direct
0.310 0.030 0.029 Sr
0.690 0.970 0.971 Sr
0.190 0.530 0.971 Sr
0.810 0.470 0.029 Sr
0.587 0.384 0.276 Sr
0.413 0.616 0.724 Sr
0.913 0.884 0.724 Sr
0.087 0.116 0.276 Sr
0.954 0.715 0.389 Sr
0.046 0.285 0.611 Sr
0.546 0.215 0.611 Sr
0.454 0.785 0.389 Sr
0.228 0.466 0.348 Cd
0.772 0.534 0.652 Cd
0.272 0.966 0.652 Cd
0.728 0.034 0.348 Cd
0.557 0.708 0.109 Ag
0.443 0.292 0.891 Ag
0.943 0.208 0.891 Ag
0.057 0.792 0.109 Ag

no.,calculated total energy (eV/f.u.)
1,-9.57
2,-20.86
3,-16.88
4,-14.09
5,-16.06
6,-9.90